Entry 1:
In5CuSe8 | GGA-PBE | relaxed

For the total DFT energy (no corrections), the calculation gives -209.175 eV per cell. The formation energy from raw total energies is -0.4735 eV per atom.

The space group is F-43m (No. 216) and the conventional cell measures 11.3989, 11.3989 and 11.3989 Å, with angles of 90.00, 90.00 and 90.00 degrees. The asymmetric unit holds In at (0.0000, 0.0000, 0.0000), In at (0.1181, 0.1181, 0.6181), Cu at (0.2500, 0.2500, 0.2500), Se at (0.1234, 0.1234, 0.3766) and Se at (0.1348, 0.1348, 0.8652).

Entry 2:
In2CuSe2 | GGA-PBE | relaxed

For the total DFT energy (no corrections), the calculation gives -33.353 eV per cell. The formation energy from raw total energies is -0.0268 eV per atom.

The space group is P4/mbm (No. 127) and the conventional cell measures 7.2517, 7.2517 and 4.5777 Å, with angles of 90.00, 90.00 and 90.00 degrees. The asymmetric unit holds In at (0.1441, 0.3559, 0.0000), Cu at (0.0000, 0.0000, 0.5000) and Se at (0.1927, 0.6927, 0.5000).

Entry 3:
In3CuSe4 | GGA-PBE | relaxed

For the total DFT energy (no corrections), the calculation gives -58.016 eV per cell. The formation energy from raw total energies is -0.3448 eV per atom.

The space group is I-42m (No. 121) and the conventional cell measures 6.2186, 6.2186 and 12.4697 Å, with angles of 90.00, 90.00 and 90.00 degrees. The asymmetric unit holds In at (0.0000, 0.0000, 0.0000), In at (0.0000, 0.5000, 0.2500), Cu at (0.0000, 0.0000, 0.5000) and Se at (0.2214, 0.2214, 0.3783).

Entry 4:
InCu2Se | GGA-PBE | relaxed

For the total DFT energy (no corrections), the calculation gives -27.500 eV per cell. The formation energy from raw total energies is 0.1664 eV per atom.

The space group is Cmmm (No. 65) and the conventional cell measures 4.6348, 5.5855 and 5.5770 Å, with angles of 90.00, 90.00 and 90.00 degrees. The asymmetric unit holds In at (0.0000, 0.0000, 0.0000), Cu at (0.0000, 0.5000, 0.2490) and Se at (0.0000, 0.0000, 0.5000).

Entry 5:
InCu2Se | GGA-PBE | relaxed

For the total DFT energy (no corrections), the calculation gives -27.211 eV per cell. The formation energy from raw total energies is 0.2025 eV per atom.

The space group is Immm (No. 71) and the conventional cell measures 3.5984, 5.2098 and 7.8416 Å, with angles of 90.00, 90.00 and 90.00 degrees. The asymmetric unit holds In at (0.0000, 0.0000, 0.0000), Cu at (0.0000, 0.5000, 0.2336) and Se at (0.0000, 0.0000, 0.5000).

Entry 6:
InCuSe | GGA-PBE | relaxed

For the total DFT energy (no corrections), the calculation gives -10.816 eV per cell. The formation energy from raw total energies is -0.1657 eV per atom.

The space group is P3m1 (No. 156) and the conventional cell measures 4.1571, 4.1571 and 4.7032 Å, with angles of 90.00, 90.00 and 120.00 degrees. The asymmetric unit holds In at (0.0000, 0.0000, 0.0000), Cu at (0.3333, 0.6667, 0.5018) and Se at (0.6667, 0.3333, 0.5002).

Entry 7:
InCu2Se | GGA-PBE | relaxed

For the total DFT energy (no corrections), the calculation gives -51.779 eV per cell. The formation energy from raw total energies is 0.3676 eV per atom.

The space group is F-43m (No. 216) and the conventional cell measures 6.6578, 6.6578 and 6.6578 Å, with angles of 90.00, 90.00 and 90.00 degrees. The asymmetric unit holds In at (0.0000, 0.0000, 0.0000), Cu at (0.0000, 0.0000, 0.5000), Cu at (0.2500, 0.2500, 0.7500) and Se at (0.2500, 0.2500, 0.2500).

Entry 8:
InCu2Se | GGA-PBE | relaxed

For the total DFT energy (no corrections), the calculation gives -13.624 eV per cell. The formation energy from raw total energies is 0.1979 eV per atom.

The space group is P4/mmm (No. 123) and the conventional cell measures 4.2814, 4.2814 and 3.8326 Å, with angles of 90.00, 90.00 and 90.00 degrees. The asymmetric unit holds In at (0.0000, 0.0000, 0.0000), Cu at (0.0000, 0.5000, 0.5000) and Se at (0.5000, 0.5000, 0.0000).

Entry 9:
InCu2Se | GGA-PBE | relaxed

For the total DFT energy (no corrections), the calculation gives -14.228 eV per cell. The formation energy from raw total energies is 0.0468 eV per atom.

The space group is P2/m (No. 10) and the conventional cell measures 3.7575, 3.9155 and 5.3234 Å, with angles of 90.00, 90.04 and 90.00 degrees. The asymmetric unit holds In at (0.0000, 0.0000, 0.0000), Cu at (0.4982, 0.5000, 0.2262) and Se at (0.5000, 0.0000, 0.5000).

Entry 10:
In2Cu2Se | GGA-PBE | relaxed

For the total DFT energy (no corrections), the calculation gives -33.969 eV per cell. The formation energy from raw total energies is 0.0339 eV per atom.

The space group is P4/mbm (No. 127) and the conventional cell measures 6.9101, 6.9101 and 4.1171 Å, with angles of 90.00, 90.00 and 90.00 degrees. The asymmetric unit holds In at (0.1672, 0.3328, 0.0000), Cu at (0.1292, 0.6292, 0.5000) and Se at (0.0000, 0.0000, 0.5000).

Entry 11:
In2Cu2Se | GGA-PBE | relaxed

For the total DFT energy (no corrections), the calculation gives -33.387 eV per cell. The formation energy from raw total energies is 0.0921 eV per atom.

The space group is P4/mbm (No. 127) and the conventional cell measures 8.2894, 8.2894 and 2.8356 Å, with angles of 90.00, 90.00 and 90.00 degrees. The asymmetric unit holds In at (0.1944, 0.3056, 0.0000), Cu at (0.1022, 0.6022, 0.5000) and Se at (0.0000, 0.0000, 0.0000).

Entry 12:
InCu2Se | GGA-PBE | relaxed

For the total DFT energy (no corrections), the calculation gives -28.856 eV per cell. The formation energy from raw total energies is -0.0031 eV per atom.

The space group is Cm (No. 8) and the conventional cell measures 7.4771, 3.6314 and 6.2660 Å, with angles of 90.00, 113.92 and 90.00 degrees. The asymmetric unit holds In at (0.0000, 0.0000, 0.0000), Cu at (0.0443, 0.5000, 0.4245), Cu at (0.2853, 0.5000, 0.2503) and Se at (0.3038, 0.0000, 0.5881).